This record from the Open Quantum Materials Database describes a relaxed structure of CoNi2. The functional is PBE.

Cell: 8.5517 8.5517 4.4940 Å, 90.00 90.00 90.00°
Last column: nearest neighbours and their distance in Å.
Atoms (fractional coordinates):
Co 0.0000 0.0000 0.0000  8 Ni 2.33-2.54, 4 Co 2.47
Co 0.1814 0.1814 0.2507  3 Co 2.24-2.47, 4 Ni 2.48-2.50
Co 0.1814 0.1814 0.7493  3 Co 2.24-2.47, 4 Ni 2.48-2.50
Co 0.3186 0.6814 0.2493  3 Co 2.24-2.47, 4 Ni 2.48-2.50
Co 0.3186 0.6814 0.7507  3 Co 2.24-2.47, 4 Ni 2.48-2.50
Co 0.5000 0.5000 0.5000  8 Ni 2.33-2.54, 4 Co 2.47
Co 0.6814 0.3186 0.2493  3 Co 2.24-2.47, 4 Ni 2.48-2.50
Co 0.6814 0.3186 0.7507  3 Co 2.24-2.47, 4 Ni 2.48-2.50
Co 0.8186 0.8186 0.2507  3 Co 2.24-2.47, 4 Ni 2.48-2.50
Co 0.8186 0.8186 0.7493  3 Co 2.24-2.47, 4 Ni 2.48-2.50
Ni 0.0396 0.6325 0.5000  6 Ni 2.36-2.43
Ni 0.0663 0.7362 0.0000  5 Co 2.33-2.50, 5 Ni 2.39-2.43
Ni 0.0978 0.9022 0.5000  3 Ni 2.36-2.37, 2 Co 2.54
Ni 0.1325 0.4604 0.0000  6 Ni 2.36-2.43
Ni 0.2362 0.4337 0.5000  5 Co 2.33-2.50, 5 Ni 2.39-2.43
Ni 0.2638 0.9337 0.0000  5 Co 2.33-2.50, 5 Ni 2.39-2.43
Ni 0.3675 0.9604 0.5000  6 Ni 2.36-2.43
Ni 0.4022 0.4022 0.0000  3 Ni 2.36-2.37, 2 Co 2.54
Ni 0.4337 0.2362 0.5000  5 Co 2.33-2.50, 5 Ni 2.39-2.43
Ni 0.4604 0.1325 0.0000  6 Ni 2.36-2.43
Ni 0.5396 0.8675 0.0000  6 Ni 2.36-2.43
Ni 0.5663 0.7638 0.5000  5 Co 2.33-2.50, 5 Ni 2.39-2.43
Ni 0.5978 0.5978 0.0000  3 Ni 2.36-2.37, 2 Co 2.54
Ni 0.6325 0.0396 0.5000  6 Ni 2.36-2.43
Ni 0.7362 0.0663 0.0000  5 Co 2.33-2.50, 5 Ni 2.39-2.43
Ni 0.7638 0.5663 0.5000  5 Co 2.33-2.50, 5 Ni 2.39-2.43
Ni 0.8675 0.5396 0.0000  6 Ni 2.36-2.43
Ni 0.9022 0.0978 0.5000  3 Ni 2.36-2.37, 2 Co 2.54
Ni 0.9337 0.2638 0.0000  5 Co 2.33-2.50, 5 Ni 2.39-2.43
Ni 0.9604 0.3675 0.5000  6 Ni 2.36-2.43

Properties
Its energy of formation from the pure elements is 0.0888 eV per atom. As for the electronic total energy: -179.76 eV for the cell shown.